SrTaCr PBEsol relaxed; E = -22.39 eV for the cell shown; space-group type = I4mm (107); spin magnetization = 0.8 Bohr magnetons per cell; energy relative to the elements = 0.75 eV per atom; DOS(E_F) = 3.0 states/eV/cell; V = 21.7 Å³ per atom
1.0
-1.6502 1.6502 5.9796
1.6502 -1.6502 5.9796
1.6502 1.6502 -5.9796
Sr Ta Cr
1 1 1
direct
0.0000 0.0000 0.0000
0.7196 0.7196 0.0000
0.3009 0.3009 0.0000